[1]
# TbPmEr2Se4

An optimized crystal structure of TbPmEr2Se4 (GGA-PBE, Alexandria).

Lattice parameters (Å, degrees): 4.0288 7.2064 7.0477 71.31 90.00 90.00
Last column: nearest neighbours and their distance in Å.
Positions (direct):
Er 0.0000 0.0000 0.0000  6 Se 2.87
Er 0.5000 0.0000 0.5000  6 Se 2.83-2.84
Se 0.5000 0.7592 0.2507  3 Er 2.84-2.87, 2 Tb 2.92, 1 Pm 2.95
Se 0.0000 0.2379 0.2580  3 Er 2.83-2.87, 1 Tb 2.92, 2 Pm 2.95
Se 0.0000 0.7621 0.7420  3 Er 2.83-2.87, 1 Tb 2.92, 2 Pm 2.95
Se 0.5000 0.2408 0.7493  3 Er 2.84-2.87, 2 Tb 2.92, 1 Pm 2.95
Pm 0.5000 0.5000 0.0000  6 Se 2.95
Tb 0.0000 0.5000 0.5000  6 Se 2.92

Computed properties:
N(E_F) = 4.242 states/eV per cell
Electronic total energy = -46.44 eV for the cell shown

***

[2]
# Tb2Pm3ErSe6

An optimized crystal structure of Tb2Pm3ErSe6 (GGA-PBE, Alexandria).

Lattice parameters (Å, degrees): 4.1079 8.3433 9.2721 103.91 102.80 90.00
Last column: nearest neighbours and their distance in Å.
Positions (direct):
Tb 0.8326 0.6655 0.6651  6 Se 2.88-2.91
Tb 0.1674 0.3345 0.3349  6 Se 2.88-2.91
Se 0.0017 0.2404 0.0033  2 Er 2.87, 1 Tb 2.91, 3 Pm 2.98-2.99
Se 0.6683 0.5776 0.3367  3 Tb 2.88, 3 Pm 2.95-2.96
Se 0.3375 0.9126 0.6750  1 Er 2.85, 2 Tb 2.90, 3 Pm 2.97
Se 0.6625 0.0874 0.3250  1 Er 2.85, 2 Tb 2.90, 3 Pm 2.97
Se 0.3317 0.4224 0.6633  3 Tb 2.88, 3 Pm 2.95-2.96
Se 0.9983 0.7596 0.9967  2 Er 2.87, 1 Tb 2.91, 3 Pm 2.98-2.99
Pm 0.1681 0.8330 0.3362  6 Se 2.96-2.98
Pm 0.8319 0.1670 0.6638  6 Se 2.96-2.98
Pm 0.5000 0.5000 0.0000  6 Se 2.95-2.99
Er 0.5000 0.0000 0.0000  6 Se 2.85-2.87

Computed properties:
N(E_F) = 5.452 states/eV per cell
Electronic total energy = -70.51 eV for the cell shown

***

[3]
# Tb2PmEr3Se6

An optimized crystal structure of Tb2PmEr3Se6 (GGA-PBE, Alexandria).

Lattice parameters (Å, degrees): 7.0510 7.0510 7.1222 99.46 99.46 120.30
Last column: nearest neighbours and their distance in Å.
Positions (direct):
Tb 0.3342 0.6658 0.0000  6 Se 2.89-2.92
Tb 0.6658 0.3342 0.0000  6 Se 2.89-2.92
Pm 0.0000 0.0000 0.0000  6 Se 2.94-2.96
Se 0.4260 0.0864 0.2597  3 Er 2.85-2.87, 2 Tb 2.91-2.92, 1 Pm 2.96
Se 0.9136 0.5740 0.7403  3 Er 2.85-2.87, 2 Tb 2.91-2.92, 1 Pm 2.96
Se 0.5740 0.9136 0.7403  3 Er 2.85-2.87, 2 Tb 2.91-2.92, 1 Pm 2.96
Se 0.7466 0.7466 0.2567  3 Er 2.82-2.84, 2 Tb 2.89, 1 Pm 2.94
Se 0.0864 0.4260 0.2597  3 Er 2.85-2.87, 2 Tb 2.91-2.92, 1 Pm 2.96
Se 0.2534 0.2534 0.7433  3 Er 2.82-2.84, 2 Tb 2.89, 1 Pm 2.94
Er 0.1625 0.8375 0.5000  6 Se 2.84-2.86
Er 0.8375 0.1625 0.5000  6 Se 2.84-2.86
Er 0.5000 0.5000 0.5000  6 Se 2.82-2.87

Computed properties:
N(E_F) = 5.506 states/eV per cell
Electronic total energy = -69.57 eV for the cell shown

***

Look up the electronic total energy of the first one.
-46.44 eV for the cell shown